[1]
# NpZnHg2

An optimized crystal structure of NpZnHg2 (PBE, Alexandria via LeMat-Bulk).

Results
As for the calculated formation energy: 169 meV per atom. For the energy above the most stable polymorph in this dataset, the calculation gives 17 meV per atom. Its density of states at the Fermi level is 9.376 states/eV/f.u. The mass density comes out at 12.7 g cm⁻³. The volume comes out at 92 Å³/cell.

a = 5.0628 Å, b = 5.0628 Å, c = 5.0628 Å
α = 60.00°, β = 60.00°, γ = 60.00°
With the nearest neighbours (Å) after each atom.
Positions (direct):
Np: 0.0000 0.0000 0.0000  8 Hg 3.10
Zn: 0.5000 0.5000 0.5000  8 Hg 3.10
Hg: 0.2500 0.2500 0.2500  4 Zn 3.10, 4 Np 3.10
Hg: 0.7500 0.7500 0.7500  4 Zn 3.10, 4 Np 3.10

***

[2]
# Sm4ErAg

An optimized crystal structure of Sm4ErAg (PBE, Alexandria via LeMat-Bulk).

Results
As for the calculated formation energy: 42 meV per atom. For the energy above the most stable polymorph in this dataset, the calculation gives 112 meV per atom. Its density of states at the Fermi level is 7.244 states/eV/f.u. The mass density comes out at 7.8 g cm⁻³. The volume comes out at 374 Å³/cell.

a = 5.4951 Å, b = 6.4856 Å, c = 10.8469 Å
α = 90.00°, β = 104.67°, γ = 90.00°
With the nearest neighbours (Å) after each atom.
Positions (direct):
Sm: 0.9356 0.2105 0.8711  2 Ag 3.35, 6 Sm 3.54-3.75, 2 Er 3.55
Sm: 0.0644 0.7105 0.1289  2 Ag 3.35, 6 Sm 3.54-3.75, 2 Er 3.55
Sm: 0.4652 0.8807 0.9305  2 Ag 3.01-3.04, 1 Sm 3.22
Sm: 0.5348 0.3807 0.0695  2 Ag 3.01-3.04, 1 Sm 3.22
Sm: 0.6772 0.5661 0.3544  1 Ag 3.03, 3 Sm 3.18-3.22
Sm: 0.3228 0.0661 0.6456  1 Ag 3.03, 3 Sm 3.18-3.22
Sm: 0.7467 0.0925 0.4933  1 Ag 3.05, 3 Sm 3.18-3.40
Sm: 0.2533 0.5925 0.5067  1 Ag 3.05, 3 Sm 3.18-3.40
Er: 0.8667 0.7104 0.7333  2 Ag 3.20, 3 Sm 3.53-3.55
Er: 0.1333 0.2104 0.2667  2 Ag 3.20, 3 Sm 3.53-3.55
Ag: 0.6060 0.9733 0.2119  6 Sm 3.01-3.35, 2 Er 3.20
Ag: 0.3940 0.4733 0.7881  6 Sm 3.01-3.35, 2 Er 3.20